# 1
Material: SrY2ZrV
Method: DFT, PBE
State: optimized geometry

a = 5.469 Å, b = 5.876 Å, c = 5.469 Å
α = 90.00°, β = 90.00°, γ = 90.00°
Last column: magnetic moment on the atom in μB.
Positions (direct):
Y1 0.000 0.000 0.500  -0.02
V1 0.500 0.500 0.500  0.18
Sr1 0.000 0.500 0.000  0.02
Y2 0.500 0.000 0.000  -0.01
Zr1 0.000 0.000 0.000  0.13

Crystal system: tetragonal
M_tot in Bohr magnetons per cell: 0.245
Calculated formation energy in eV per atom: 1.425
Electronic total energy in eV per cell: -25.150

# 2
Material: Pm5Si3Hg
Method: DFT, PBE
State: optimized geometry

a = 6.454 Å, b = 9.086 Å, c = 9.086 Å
α = 120.00°, β = 90.00°, γ = 90.00°
Last column: magnetic moment on the atom in μB.
Positions (direct):
Pm1 0.750 0.295 0.000  0.06
Pm2 0.000 0.333 0.667  0.13
Hg1 0.000 0.000 0.000  0.00
Pm3 0.750 0.000 0.295  0.06
Pm4 0.500 0.667 0.333  0.13
Pm5 0.250 0.295 0.295  0.06
Si1 0.750 0.000 0.631  -0.01
Si2 0.250 0.369 0.000  -0.01
Pm6 0.250 0.000 0.705  0.06
Si3 0.250 0.000 0.369  -0.01
Si4 0.750 0.369 0.369  -0.01
Hg2 0.500 0.000 0.000  0.00
Pm7 0.500 0.333 0.667  0.13
Si5 0.250 0.631 0.631  -0.01
Pm8 0.750 0.705 0.705  0.06
Si6 0.750 0.631 0.000  -0.01
Pm9 0.000 0.667 0.333  0.13
Pm10 0.250 0.705 0.000  0.06

Crystal system: hexagonal
M_tot in Bohr magnetons per cell: 1.587
Formation energy without anion corrections in eV/atom: -0.5284
Electronic total energy in eV per cell: -90.160

# 3
Material: TbNi12B6
Method: DFT, PBE
State: optimized geometry

a = 6.036 Å, b = 6.036 Å, c = 10.986 Å
α = 90.00°, β = 90.00°, γ = 104.80°
Positions (direct):
Ni1 0.194 0.456 0.266
Ni2 0.658 0.271 0.932
Ni3 0.855 0.118 0.245
B1 0.600 0.013 0.378
B2 0.242 0.673 0.115
Ni4 0.342 0.729 0.432
Ni5 0.882 0.145 0.745
Ni6 0.526 0.788 0.224
B3 0.163 0.163 0.161
Ni7 0.118 0.855 0.245
Ni8 0.632 0.997 0.563
Ni9 0.788 0.526 0.224
Tb1 0.167 0.167 0.503
Ni10 0.474 0.212 0.724
B4 0.673 0.242 0.115
Ni11 0.217 0.217 0.901
Ni12 0.271 0.658 0.932
B5 0.987 0.400 0.878
B6 0.327 0.758 0.615
B7 0.487 0.487 0.844
Ni13 0.544 0.806 0.766
Ni14 0.783 0.783 0.401
B8 0.013 0.600 0.378
Tb2 0.833 0.833 0.003
Ni15 0.729 0.342 0.432
Ni16 0.806 0.544 0.766
Ni17 0.212 0.474 0.724
B9 0.513 0.513 0.344
Ni18 0.456 0.194 0.266
Ni19 0.145 0.882 0.745
Ni20 0.997 0.632 0.563
Ni21 0.567 0.567 0.582
Ni22 0.368 0.003 0.063
Ni23 0.433 0.433 0.082
B10 0.758 0.327 0.615
B11 0.400 0.987 0.878
Ni24 0.003 0.368 0.063
B12 0.837 0.837 0.661

Crystal system: orthorhombic
M_tot in Bohr magnetons per cell: 0.000
Calculated formation energy in eV per atom: -0.396
Electronic total energy in eV per cell: -243.178

# 4
Material: HPdPb
Method: DFT, PBE
State: optimized geometry

a = 4.155 Å, b = 7.725 Å, c = 8.717 Å
α = 133.05°, β = 90.00°, γ = 90.00°
Positions (direct):
Pd1 0.250 0.393 0.846
Pb1 0.750 0.573 0.756
H1 0.750 0.311 0.416
H2 0.250 0.189 0.584
Pd2 0.750 0.107 0.154
Pb2 0.750 0.073 0.756
Pd3 0.750 0.607 0.154
H3 0.750 0.811 0.416
Pb3 0.250 0.427 0.244
Pd4 0.250 0.893 0.846
H4 0.250 0.689 0.584
Pb4 0.250 0.927 0.244

Crystal system: monoclinic
M_tot in Bohr magnetons per cell: 0.000
Polymorph energy (0 for the lowest one) in meV/atom: 37.2
Electronic total energy in eV per cell: -49.507